No. 1
A plane-wave DFT calculation with GGA-PBE was carried out for a relaxed structure of KLiBr.

a = 7.432 Å, b = 7.432 Å, c = 7.432 Å
α = 150.68°, β = 150.68°, γ = 41.94°
Atoms (fractional coordinates):
1 K 0.000 0.000 0.000
2 Li 0.738 0.738 0.000
3 Br 0.325 0.325 0.000

Calculated values
The calculation puts the excess energy over the best structure of this formula in the dataset at 115 meV per atom. Its calculated volume is 98 Å³ per cell. The value obtained for the formation energy from raw total energies is -859 meV/atom.


No. 2
A plane-wave DFT calculation with GGA-PBE was carried out for a relaxed structure of KLiBr.

a = 8.157 Å, b = 7.617 Å, c = 4.203 Å
α = 81.78°, β = 67.56°, γ = 30.66°
Atoms (fractional coordinates):
1 K 0.000 0.000 0.000
2 Li 0.267 0.267 0.733
3 Br 0.673 0.673 0.327

Calculated values
The calculation puts the excess energy over the best structure of this formula in the dataset at 87 meV per atom. Its calculated volume is 113 Å³ per cell. The value obtained for the formation energy from raw total energies is -887 meV/atom.


Respective size of the total moment values: 0.00 0.16 Bohr magnetons per cell.